# 1
This record from Alexandria via LeMat-Bulk describes a relaxed structure of Te8Ir3. The functional is PBE.

Unit cell a=9.143 b=9.205 c=11.323 alpha=89.45 beta=89.99 gamma=60.23
Space group P-1 (No. 2)
Inequivalent atoms, fractional coordinates:
Te: 0.001 0.002 0.372
Te: 0.018 0.744 0.878
Te: 0.078 0.585 0.209
Te: 0.080 0.328 0.460
Te: 0.255 0.992 0.874
Te: 0.262 0.754 0.125
Te: 0.327 0.584 0.458
Te: 0.329 0.085 0.208
Te: 0.335 0.334 0.705
Te: 0.342 0.331 0.962
Te: 0.415 0.912 0.545
Te: 0.438 0.648 0.796
Ir: 0.000 0.000 0.000
Ir: 0.000 0.500 0.000
Ir: 0.170 0.166 0.667
Ir: 0.329 0.335 0.334
Ir: 0.332 0.834 0.335
Ir: 0.500 0.000 0.000

Results
ρ: 9.6 g cm⁻³
Raw formation energy: -244 kJ/mol of formula units
Spin magnetization: 0.00 μB/f.u.
V: 25.1 A^3/atom

---

# 2
This record from Alexandria via LeMat-Bulk describes a relaxed structure of Nb2TlNi. The functional is PBE.

Unit cell a=7.370 b=7.370 c=5.515 alpha=90.00 beta=90.00 gamma=90.00
Space group I-42d (No. 122)
Inequivalent atoms, fractional coordinates:
Nb: 0.208 0.250 0.125
Tl: 0.000 0.000 0.500
Ni: 0.000 0.000 0.000

Results
ρ: 10.0 g cm⁻³
Spin magnetization: 0.00 μB/f.u.
E above lowest polymorph: 0.14 eV per formula unit
V: 18.7 A^3/atom

---

# 3
This record from Alexandria via LeMat-Bulk describes a relaxed structure of NaAs2HSe. The functional is PBE.

Unit cell a=5.096 b=5.096 c=5.106 alpha=90.00 beta=90.00 gamma=90.00
Space group P4/mmm (No. 123)
Inequivalent atoms, fractional coordinates:
Na: 0.000 0.000 0.000
As: 0.000 0.500 0.000
H: 0.500 0.500 0.500
Se: 0.000 0.000 0.500

Results
ρ: 3.2 g cm⁻³
Spin magnetization: 0.68 μB/f.u.
E above lowest polymorph: 5.58 eV per formula unit
V: 26.5 A^3/atom

---

# 4
This record from Alexandria via LeMat-Bulk describes a relaxed structure of TiAsAu3. The functional is PBE.

Unit cell a=4.950 b=4.950 c=4.950 alpha=90.00 beta=90.00 gamma=90.00
Space group Pm-3m (No. 221)
Inequivalent atoms, fractional coordinates:
Ti: 0.000 0.000 0.000
As: 0.500 0.500 0.500
Au: 0.000 0.000 0.500

Results
ρ: 9.8 g cm⁻³
Spin magnetization: 0.00 μB/f.u.
E above lowest polymorph: 1.35 eV per formula unit
V: 24.3 A^3/atom

---

# 5
This record from Alexandria via LeMat-Bulk describes a relaxed structure of Si2PAu. The functional is PBE.

Unit cell a=4.475 b=3.468 c=4.606 alpha=90.00 beta=107.82 gamma=90.00
Space group Pm (No. 6)
Inequivalent atoms, fractional coordinates:
Si: 0.000 0.000 0.000
Si: 0.309 0.500 0.793
P: 0.761 0.500 0.205
Au: 0.513 0.000 0.496

Results
ρ: 6.9 g cm⁻³
Raw formation energy: 41 kJ/mol of formula units
Spin magnetization: 0.00 μB/f.u.
V: 17.0 A^3/atom

---

# 6
This record from Alexandria via LeMat-Bulk describes a relaxed structure of RbAcTlS3. The functional is PBE.

Unit cell a=9.024 b=4.800 c=10.215 alpha=90.00 beta=103.77 gamma=90.00
Space group P2_1/m (No. 11)
Inequivalent atoms, fractional coordinates:
Rb: 0.190 0.250 0.211
Ac: 0.335 0.750 0.855
Tl: 0.118 0.250 0.593
S: 0.120 0.250 0.857
S: 0.209 0.750 0.534
S: 0.458 0.750 0.145

Results
ρ: 4.7 g cm⁻³
Raw formation energy: -696 kJ/mol of formula units
Spin magnetization: 0.00 μB/f.u.
V: 35.8 A^3/atom

---

# 7
This record from Alexandria via LeMat-Bulk describes a relaxed structure of Sb3Pb5. The functional is PBE.

Unit cell a=7.961 b=11.354 c=5.460 alpha=90.00 beta=90.00 gamma=90.00
Space group Cmmm (No. 65)
Inequivalent atoms, fractional coordinates:
Sb: 0.000 0.000 0.000
Sb: 0.000 0.296 0.500
Pb: 0.000 0.500 0.000
Pb: 0.224 0.000 0.500
Pb: 0.250 0.250 0.000

Results
ρ: 9.4 g cm⁻³
Raw formation energy: 34 kJ/mol of formula units
Spin magnetization: 0.00 μB/f.u.
E above lowest polymorph: 0.14 eV per formula unit
V: 30.8 A^3/atom

---

# 8
This record from Alexandria via LeMat-Bulk describes a relaxed structure of TbAlZn. The functional is PBE.

Unit cell a=4.5030 b=4.5030 c=3.5689 alpha=90.00 beta=90.00 gamma=120.00
Space group P-6m2 (No. 187)
Inequivalent atoms, fractional coordinates:
Tb: 0.0000 0.0000 0.0000
Al: 0.3333 0.6667 0.5000
Zn: 0.6667 0.3333 0.5000

Results
ρ: 6.7 g cm⁻³
Uncorrected energy: -3.68 eV/atom
Spin magnetization: 0.00 μB/f.u.
V: 20.9 A^3/atom

---

What did the sixth record say?
This record from Alexandria via LeMat-Bulk describes a relaxed structure of RbAcTlS3. The functional is PBE.

Unit cell a=9.024 b=4.800 c=10.215 alpha=90.00 beta=103.77 gamma=90.00
Space group P2_1/m (No. 11)
Inequivalent atoms, fractional coordinates:
Rb: 0.190 0.250 0.211
Ac: 0.335 0.750 0.855
Tl: 0.118 0.250 0.593
S: 0.120 0.250 0.857
S: 0.209 0.750 0.534
S: 0.458 0.750 0.145

Results
ρ: 4.7 g cm⁻³
Raw formation energy: -696 kJ/mol of formula units
Spin magnetization: 0.00 μB/f.u.
V: 35.8 A^3/atom

---

Number 3 is which compound?
NaAs2HSe

---

Which value of ρ does entry 2 give?
10.0 g cm⁻³